Record 1
Material: Ba2TaRu
Method: DFT, SCAN
State: PBEsol geometry

Properties
Offset from the most stable computed form ... 0 meV/atom
Energy of formation ... 0.32 eV per atom
Symmetry ... Pm (6)

Cell lengths 3.367, 3.462, 10.056 Å; angles 90.00, 99.73, 90.00 degrees
Fractional positions:
1 Ba 0.000 0.000 0.000
2 Ba 0.188 0.500 0.381
3 Ta 0.362 0.500 0.725
4 Ru 0.815 0.000 0.632

Record 2
Material: TcAs2Se
Method: DFT, SCAN
State: PBEsol geometry

Properties
Offset from the most stable computed form ... 118 meV/atom
Uncorrected formation energy ... 0.079 eV/atom
Symmetry ... R-3m (166)

Cell lengths 8.354, 8.354, 8.354 Å; angles 21.55, 21.55, 21.55 degrees
Fractional positions:
1 Tc 0.000 0.000 0.000
2 As 0.261 0.261 0.261
3 As 0.739 0.739 0.739
4 Se 0.500 0.500 0.500

Record 3
Material: DyHoO3
Method: DFT, SCAN
State: PBEsol geometry

Properties
Uncorrected formation energy ... -3.845 eV/atom
Symmetry ... P6_3cm (185)

Cell lengths 6.333, 6.333, 12.535 Å; angles 90.00, 90.00, 120.00 degrees
Fractional positions:
1 Dy 0.000 0.000 0.000
2 Dy 0.000 0.000 0.500
3 Dy 0.333 0.667 0.036
4 Dy 0.333 0.667 0.536
5 Dy 0.667 0.333 0.036
6 Dy 0.667 0.333 0.536
7 Ho 0.000 0.333 0.270
8 Ho 0.000 0.667 0.770
9 Ho 0.333 0.000 0.270
10 Ho 0.333 0.333 0.770
11 Ho 0.667 0.000 0.770
12 Ho 0.667 0.667 0.270
13 O 0.000 0.000 0.306
14 O 0.000 0.000 0.806
15 O 0.000 0.304 0.095
16 O 0.000 0.367 0.442
17 O 0.000 0.633 0.942
18 O 0.000 0.696 0.595
19 O 0.304 0.000 0.095
20 O 0.304 0.304 0.595
21 O 0.333 0.667 0.238
22 O 0.333 0.667 0.738
23 O 0.367 0.000 0.442
24 O 0.367 0.367 0.942
25 O 0.633 0.000 0.942
26 O 0.633 0.633 0.442
27 O 0.667 0.333 0.238
28 O 0.667 0.333 0.738
29 O 0.696 0.000 0.595
30 O 0.696 0.696 0.095

Record 4
Material: K2ScAu
Method: DFT, SCAN
State: PBEsol geometry

Properties
Energy of formation ... 0.02 eV per atom
Symmetry ... Imm2 (44)

Cell lengths 7.383, 7.383, 7.383 Å; angles 151.96, 130.08, 58.23 degrees
Fractional positions:
1 K 0.000 0.000 0.000
2 K 0.687 0.187 0.500
3 Sc 0.319 0.819 0.500
4 Au 0.467 0.467 0.000

Record 5
Material: Hf5Al3C
Method: DFT, SCAN
State: PBEsol geometry

Properties
Energy of formation ... -0.50 eV per atom
Symmetry ... P6_3/mcm (193)

Cell lengths 8.121, 8.121, 5.537 Å; angles 90.00, 90.00, 120.00 degrees
Fractional positions:
1 Hf 0.000 0.224 0.250
2 Hf 0.000 0.776 0.750
3 Hf 0.224 0.000 0.250
4 Hf 0.224 0.224 0.750
5 Hf 0.333 0.667 0.000
6 Hf 0.333 0.667 0.500
7 Hf 0.667 0.333 0.000
8 Hf 0.667 0.333 0.500
9 Hf 0.776 0.000 0.750
10 Hf 0.776 0.776 0.250
11 Al 0.000 0.401 0.750
12 Al 0.000 0.599 0.250
13 Al 0.401 0.000 0.750
14 Al 0.401 0.401 0.250
15 Al 0.599 0.000 0.250
16 Al 0.599 0.599 0.750
17 C 0.000 0.000 0.000
18 C 0.000 0.000 0.500

Record 6
Material: BaLi2Ti6O14
Method: DFT, SCAN
State: PBEsol geometry

Properties
Uncorrected formation energy ... -3.251 eV/atom
Symmetry ... Cmce (64)

Cell lengths 10.013, 10.013, 11.526 Å; angles 90.00, 90.00, 68.49 degrees
Fractional positions:
1 Ba 0.144 0.856 0.879
2 Ba 0.356 0.644 0.379
3 Ba 0.644 0.356 0.621
4 Ba 0.856 0.144 0.121
5 Li 0.056 0.566 0.379
6 Li 0.066 0.556 0.879
7 Li 0.434 0.944 0.379
8 Li 0.444 0.934 0.879
9 Li 0.556 0.066 0.121
10 Li 0.566 0.056 0.621
11 Li 0.934 0.444 0.121
12 Li 0.944 0.434 0.621
13 Ti 0.006 0.775 0.615
14 Ti 0.019 0.759 0.142
15 Ti 0.225 0.994 0.615
16 Ti 0.239 0.239 0.000
17 Ti 0.241 0.981 0.142
18 Ti 0.243 0.257 0.250
19 Ti 0.257 0.243 0.750
20 Ti 0.259 0.519 0.642
21 Ti 0.261 0.261 0.500
22 Ti 0.275 0.506 0.115
23 Ti 0.481 0.741 0.642
24 Ti 0.494 0.725 0.115
25 Ti 0.506 0.275 0.885
26 Ti 0.519 0.259 0.358
27 Ti 0.725 0.494 0.885
28 Ti 0.739 0.739 0.500
29 Ti 0.741 0.481 0.358
30 Ti 0.743 0.757 0.250
31 Ti 0.757 0.743 0.750
32 Ti 0.759 0.019 0.858
33 Ti 0.761 0.761 0.000
34 Ti 0.775 0.006 0.385
35 Ti 0.981 0.241 0.858
36 Ti 0.994 0.225 0.385
37 O 0.096 0.904 0.126
38 O 0.096 0.904 0.631
39 O 0.121 0.348 0.872
40 O 0.123 0.354 0.378
41 O 0.127 0.127 0.000
42 O 0.130 0.134 0.251
43 O 0.130 0.641 0.740
44 O 0.134 0.130 0.749
45 O 0.134 0.134 0.500
46 O 0.135 0.637 0.019
47 O 0.137 0.635 0.519
48 O 0.141 0.630 0.240
49 O 0.146 0.377 0.122
50 O 0.152 0.379 0.628
51 O 0.348 0.121 0.128
52 O 0.354 0.123 0.622
53 O 0.359 0.870 0.740
54 O 0.363 0.865 0.019
55 O 0.365 0.863 0.519
56 O 0.366 0.366 0.000
57 O 0.366 0.370 0.249
58 O 0.370 0.366 0.751
59 O 0.370 0.859 0.240
60 O 0.373 0.373 0.500
61 O 0.377 0.146 0.878
62 O 0.379 0.152 0.372
63 O 0.404 0.596 0.131
64 O 0.404 0.596 0.626
65 O 0.596 0.404 0.374
66 O 0.596 0.404 0.869
67 O 0.621 0.848 0.628
68 O 0.623 0.854 0.122
69 O 0.627 0.627 0.500
70 O 0.630 0.141 0.760
71 O 0.630 0.634 0.249
72 O 0.634 0.630 0.751
73 O 0.634 0.634 0.000
74 O 0.635 0.137 0.481
75 O 0.637 0.135 0.981
76 O 0.641 0.130 0.260
77 O 0.646 0.877 0.378
78 O 0.652 0.879 0.872
79 O 0.848 0.621 0.372
80 O 0.854 0.623 0.878
81 O 0.859 0.370 0.760
82 O 0.863 0.365 0.481
83 O 0.865 0.363 0.981
84 O 0.866 0.866 0.500
85 O 0.866 0.870 0.251
86 O 0.870 0.359 0.260
87 O 0.870 0.866 0.749
88 O 0.873 0.873 0.000
89 O 0.877 0.646 0.622
90 O 0.879 0.652 0.128
91 O 0.904 0.096 0.369
92 O 0.904 0.096 0.874

Record 7
Material: MgSiSe
Method: DFT, SCAN
State: PBEsol geometry

Properties
Uncorrected formation energy ... 0.065 eV/atom
Symmetry ... I4mm (107)

Cell lengths 5.462, 5.462, 5.462 Å; angles 144.76, 144.76, 50.69 degrees
Fractional positions:
1 Mg 0.000 0.000 0.000
2 Si 0.321 0.321 0.000
3 Se 0.664 0.664 0.000

Record 8
Material: Li2ReW
Method: DFT, SCAN
State: PBEsol geometry

Properties
Offset from the most stable computed form ... 211 meV/atom
Energy of formation ... 0.44 eV per atom
Symmetry ... P4mm (99)

Cell lengths 2.585, 2.585, 9.176 Å; angles 90.00, 90.00, 90.00 degrees
Fractional positions:
1 Li 0.000 0.000 0.000
2 Li 0.500 0.500 0.277
3 Re 0.000 0.000 0.508
4 W 0.500 0.500 0.758